1.
TiNiAs | SCAN | single point on PBEsol structure

Geometry as extended XYZ:
```
12
Lattice="-3.281 -1.433 0.893 2.551 -5.589 0.406 1.372 1.123 6.842" Properties=species:S:1:pos:R:3 pbc="T T T"
Ni 2.638 -4.068 6.978
Ni -1.996 -1.831 1.163
Ni 0.850 -1.693 4.220
Ni -0.208 -4.206 3.921
As 0.980 -0.677 6.325
As -0.338 -5.222 1.815
As 1.904 -3.758 4.776
As -1.262 -2.140 3.364
Ti 2.107 -5.443 2.819
Ti -1.465 -0.455 5.322
Ti 0.635 -2.810 1.636
Ti 0.007 -3.089 6.504
```

As for the symmetry: Pnma (62). As for the density of states at the Fermi level: 8.639 states/eV/cell. Its calculated formation energy is -2.58 eV per formula unit.

***

2.
Al6B5O15F3 | SCAN | single point on PBEsol structure

Geometry as extended XYZ:
```
58
Lattice="8.194 0.000 0.000 0.000 8.577 0.000 0.000 -4.288 7.428" Properties=species:S:1:pos:R:3 pbc="T T T"
Al 0.617 1.332 7.317
Al 4.714 7.003 2.505
Al 4.714 2.906 4.812
Al 0.617 1.382 2.616
Al 0.617 -2.714 4.923
Al 4.714 2.956 0.111
Al 7.577 2.956 0.111
Al 3.480 -2.714 4.923
Al 3.480 1.382 2.616
Al 7.577 2.906 4.812
Al 7.577 7.003 2.505
Al 3.480 1.332 7.317
B 0.444 4.288 2.476
B 7.749 0.000 4.952
B 3.652 4.288 2.476
B 4.541 0.000 4.952
B 6.145 2.297 7.410
B 2.048 7.565 1.716
B 2.048 3.308 5.694
B 6.145 0.981 1.734
B 6.145 -3.277 5.712
B 2.048 1.992 0.018
O 7.747 -1.242 4.375
O 3.651 4.167 1.112
O 7.747 1.120 4.165
O 3.651 3.168 3.263
O 3.651 5.530 3.053
O 7.747 0.121 6.315
O 2.048 1.800 1.385
O 6.145 -2.189 6.561
O 6.145 -0.299 2.252
O 6.145 2.488 6.043
O 2.048 4.588 5.176
O 2.048 6.477 0.867
O 0.446 4.167 1.112
O 4.543 -1.242 4.375
O 4.543 1.120 4.165
O 0.446 3.168 3.263
O 0.446 5.530 3.053
O 4.543 0.121 6.315
O 3.265 2.687 5.972
O 7.361 6.515 0.659
O 7.361 4.748 5.313
O 3.265 -0.460 2.115
O 3.265 -2.227 6.769
O 7.361 1.601 1.456
O 4.929 1.601 1.456
O 0.832 -2.227 6.769
O 0.832 -0.460 2.115
O 4.929 4.748 5.313
O 4.929 6.515 0.659
O 0.832 2.687 5.972
F 6.145 3.810 0.840
F 2.048 -1.656 4.548
F 2.048 1.178 3.719
F 6.145 3.110 3.708
F 6.145 5.945 2.880
F 2.048 0.478 6.588
```

As for the symmetry: P6_3/m (176). As for the density of states at the Fermi level: 0.000 states/eV/cell. As for the raw formation energy: -3.162 eV/atom.

***

3.
ZrTa3Cd | SCAN | single point on PBEsol structure

Geometry as extended XYZ:
```
5
Lattice="-4.283 1.723 1.664 -1.101 -4.443 1.769 2.127 1.171 4.264" Properties=species:S:1:pos:R:3 pbc="T T T"
Cd 0.000 0.000 0.000
Zr -1.628 -0.774 3.848
Ta -0.550 -2.221 0.885
Ta 1.064 0.586 2.132
Ta -2.141 0.862 0.832
```

As for the symmetry: Pm-3m (221). As for the density of states at the Fermi level: 8.788 states/eV/cell. Its calculated formation energy is 9.85 eV per formula unit.

***

4.
CoNi2Mo | SCAN | single point on PBEsol structure

Geometry as extended XYZ:
```
4
Lattice="-0.486 2.389 -0.723 -2.872 0.394 3.232 3.774 0.108 2.294" Properties=species:S:1:pos:R:3 pbc="T T T"
Co -0.243 1.195 -0.361
Mo -1.436 0.197 1.616
Ni 1.028 0.732 1.729
Ni -0.611 2.159 3.074
```

As for the symmetry: C2/m (12). As for the density of states at the Fermi level: 4.103 states/eV/cell. Its calculated formation energy is 0.60 eV per formula unit.

***

5.
KTl2Sb | SCAN | single point on PBEsol structure

Geometry as extended XYZ:
```
4
Lattice="3.356 0.000 -0.020 0.000 5.513 0.000 -0.699 0.000 6.492" Properties=species:S:1:pos:R:3 pbc="T T T"
Sb -0.349 2.757 3.246
Tl 2.191 0.000 4.688
Tl 0.467 0.000 1.784
K 1.678 2.757 -0.010
```

As for the symmetry: P2/m (10). As for the density of states at the Fermi level: 1.424 states/eV/cell. As for the raw formation energy: -0.195 eV/atom.

***

6.
TlSn2Hg | SCAN | single point on PBEsol structure

Geometry as extended XYZ:
```
4
Lattice="-1.551 -3.820 3.285 -0.076 -5.011 -1.634 3.518 -3.442 1.888" Properties=species:S:1:pos:R:3 pbc="T T T"
Tl 0.945 -6.136 1.770
Hg 0.000 0.000 0.000
Sn 0.473 -3.068 0.885
Sn 1.418 -9.205 2.655
```

As for the symmetry: Fm-3m (225). As for the density of states at the Fermi level: 1.420 states/eV/cell. Its calculated formation energy is 0.76 eV per formula unit.

***

7.
CaMg2Ag | SCAN | single point on PBEsol structure

Geometry as extended XYZ:
```
4
Lattice="3.444 0.000 0.000 0.000 5.228 0.000 -1.722 -2.614 5.269" Properties=species:S:1:pos:R:3 pbc="T T T"
Ca 0.000 2.614 0.000
Mg 1.722 2.614 3.025
Mg 0.000 0.000 2.244
Ag 1.722 0.000 0.000
```

As for the symmetry: Immm (71). As for the density of states at the Fermi level: 1.932 states/eV/cell. Its calculated formation energy is -0.66 eV per formula unit.

***

8.
NaBi2Ir | SCAN | single point on PBEsol structure

Geometry as extended XYZ:
```
4
Lattice="4.933 0.000 0.000 2.466 4.272 0.000 2.466 1.424 4.028" Properties=species:S:1:pos:R:3 pbc="T T T"
Na 0.000 0.000 0.000
Ir 4.933 2.848 2.014
Bi 2.466 1.424 1.007
Bi 7.399 4.272 3.021
```

As for the symmetry: Fm-3m (225). As for the density of states at the Fermi level: 1.187 states/eV/cell. Its calculated formation energy is 0.23 eV per formula unit.

***

9.
TaMnCo2 | SCAN | single point on PBEsol structure

Geometry as extended XYZ:
```
4
Lattice="2.625 0.000 0.000 -1.313 4.159 0.007 0.000 -0.840 4.390" Properties=species:S:1:pos:R:3 pbc="T T T"
Co 1.313 3.270 4.322
Co 0.000 1.448 3.204
Mn 1.313 -0.380 2.430
Ta 1.313 1.880 1.033
```

As for the symmetry: Cm (8). As for the density of states at the Fermi level: 4.382 states/eV/cell. Its calculated formation energy is 0.90 eV per formula unit.

***

10.
K3NdP2O8 | SCAN | single point on PBEsol structure

Geometry as extended XYZ:
```
28
Lattice="-1.750 -5.188 -1.354 5.942 -2.888 3.382 -4.982 -0.431 8.093" Properties=species:S:1:pos:R:3 pbc="T T T"
K 1.245 -2.381 1.640
K 0.072 -5.448 3.160
K 2.242 -3.788 5.743
K -2.035 -6.125 8.481
K -3.032 -4.718 4.378
K -0.862 -3.059 6.962
Nd -4.347 -1.658 6.097
Nd 3.557 -6.849 4.024
P -1.102 -2.156 3.811
P 0.312 -6.351 6.310
P 3.974 -3.653 2.983
P -4.765 -4.854 7.138
O 3.617 -2.356 3.758
O -3.621 -3.818 6.973
O -4.408 -6.151 6.364
O 2.830 -4.688 3.149
O -0.817 -0.731 3.248
O 0.811 -5.451 7.481
O 0.027 -7.776 6.874
O -1.601 -3.056 2.641
O -0.634 -1.353 0.132
O -0.157 -7.153 9.990
O -0.786 -3.765 9.568
O -0.004 -4.742 0.553
O 1.433 -6.449 5.236
O -2.223 -2.058 4.885
O -0.979 -5.763 5.728
O 0.189 -2.743 4.393
```

As for the symmetry: P2_1/m (11). As for the density of states at the Fermi level: 0.000 states/eV/cell. As for the raw formation energy: -2.869 eV/atom.

***

11.
CdAg4 | SCAN | single point on PBEsol structure

Geometry as extended XYZ:
```
5
Lattice="-0.915 1.300 -2.430 1.866 -1.591 -1.554 -7.556 -7.017 0.824" Properties=species:S:1:pos:R:3 pbc="T T T"
Ag -5.621 -5.687 -0.927
Ag -3.755 -4.426 -2.690
Ag -2.849 -2.882 -0.470
Ag -0.983 -1.621 -2.233
Cd 0.000 0.000 0.000
```

As for the symmetry: I4/mmm (139). As for the density of states at the Fermi level: 1.058 states/eV/cell. Its calculated formation energy is -0.10 eV per formula unit.

***

12.
LiIr2Ru | SCAN | single point on PBEsol structure

Geometry as extended XYZ:
```
4
Lattice="-0.297 0.126 -2.726 -0.060 -4.392 -0.197 -4.421 0.038 0.484" Properties=species:S:1:pos:R:3 pbc="T T T"
Ir 0.000 0.000 0.000
Ir -2.359 0.082 -1.121
Li -0.178 -2.133 -1.461
Ru -2.240 -2.177 0.144
```

As for the symmetry: Pmmm (47). As for the density of states at the Fermi level: 3.520 states/eV/cell. Its calculated formation energy is 0.56 eV per formula unit.